VASP calculation (PBE with a Hubbard U) on an optimized crystal structure of Mn2AuF.

Geometry as POSCAR:
```
Mn2AuF
1.0
-4.247 4.287 -2.529
-2.759 -4.795 -3.495
-5.576 -0.855 -0.550
Mn Au F
4 2 2
direct
0.568 0.125 0.250
0.182 0.625 0.250
0.375 0.432 0.750
0.875 0.818 0.750
0.000 0.000 0.000
0.750 0.250 0.500
0.500 0.500 0.000
0.250 0.750 0.500
```

Values from the calculation:
Space group: I-42d (122)
Size of the total moment: 9.85 μB/f.u.
Energy above the most stable polymorph in this dataset: 0 meV per atom
Crystal system: tetragonal